[1]
NaTe2As2: relaxed, PBE-GGA.

## Properties
Space-group type: P4/mbm (127)
Relative energy among the computed polymorphs in eV/f.u.: 0.16
Total magnetization in μB per formula unit: 0.000

Cell lengths 8.6249, 8.6249, 3.8662 Å; angles 90.00, 90.00, 90.00 degrees
Atoms (fractional coordinates):
1 Na 0.0000 0.0000 0.0000
2 Na 0.5000 0.5000 0.0000
3 As 0.1834 0.6834 0.5000
4 As 0.6834 0.8166 0.5000
5 As 0.8166 0.3166 0.5000
6 As 0.3166 0.1834 0.5000
7 Te 0.3348 0.8348 0.0000
8 Te 0.8348 0.6652 0.0000
9 Te 0.6652 0.1652 0.0000
10 Te 0.1652 0.3348 0.0000

[2]
U4B3C5: relaxed, PBE-GGA.

## Properties
Raw total energy in eV/f.u.: -115.63
Space-group type: Pmm2 (25)
Total magnetization in μB per formula unit: 1.978

Cell lengths 3.2301, 3.6535, 11.8376 Å; angles 90.00, 90.00, 90.00 degrees
Atoms (fractional coordinates):
1 U 0.0000 0.0000 0.1395
2 U 0.0000 0.5000 0.6341
3 U 0.5000 0.5000 0.3651
4 U 0.5000 0.0000 0.8618
5 B 0.0000 0.5000 0.9656
6 B 0.5000 0.5000 0.0350
7 B 0.5000 0.0000 0.5308
8 C 0.0000 0.0000 0.3395
9 C 0.0000 0.5000 0.8321
10 C 0.5000 0.5000 0.1686
11 C 0.5000 0.0000 0.6631
12 C 0.0000 0.0000 0.4649

[3]
TmURu4: relaxed, PBE-GGA.

## Properties
Space-group type: P2/m (10)
Relative energy among the computed polymorphs in eV/f.u.: 1.56
Total magnetization in μB per formula unit: 0.000

Cell lengths 3.2294, 7.5786, 4.6254 Å; angles 94.90, 90.01, 90.04 degrees
Atoms (fractional coordinates):
1 Tm 0.0000 0.0000 0.0000
2 U 0.5000 0.5000 0.5000
3 Ru 0.4988 0.6908 0.9725
4 Ru 0.5012 0.3092 0.0275
5 Ru 0.0009 0.2445 0.5216
6 Ru 0.9991 0.7555 0.4784